1.
A relaxed structure of PmHo2Ag3Te6, computed with PBE.

abc: 17.231 4.467 10.602
angles: 90.00 106.06 90.00
Space group C2/m (No. 12)
One atom of each set of equivalent atoms:
Pm 0.000 0.000 0.000
Ho 0.163 0.500 0.332
Ag 0.000 0.000 0.500
Ag 0.171 0.500 0.970
Te 0.017 0.500 0.794
Te 0.157 0.000 0.526
Te 0.195 0.000 0.146

## Properties
Total moment   0.000 μB/cell
ΔE_f (raw)   -10.4 eV/f.u.
Calculated volume   784.2 Å³ per cell



2.
A relaxed structure of PmHoTlAg, computed with PBE.

abc: 3.679 3.679 7.829
angles: 90.00 90.00 90.00
Space group P4mm (No. 99)
One atom of each set of equivalent atoms:
Pm 0.000 0.000 0.000
Ho 0.000 0.000 0.530
Tl 0.500 0.500 0.272
Ag 0.500 0.500 0.743

## Properties
Total moment   0.148 μB/cell
Relative energy among the computed polymorphs   0.000 eV per atom
DFT formation energy   -334 meV per atom
Calculated volume   106.0 Å³ per cell



3.
A relaxed structure of PmHoTlAg, computed with PBE.

abc: 7.525 7.525 7.525
angles: 90.00 90.00 90.00
Space group F-43m (No. 216)
One atom of each set of equivalent atoms:
Pm 0.000 0.000 0.000
Ho 0.000 0.000 0.500
Tl 0.250 0.250 0.750
Ag 0.250 0.250 0.250

## Properties
Total moment   1.075 μB/cell
Relative energy among the computed polymorphs   0.007 eV per atom
DFT formation energy   -326 meV per atom
Calculated volume   426.2 Å³ per cell



4.
A relaxed structure of Pm2HoTl2Ag2, computed with PBE.

abc: 4.8936 4.8936 27.4422
angles: 90.00 90.00 120.00
Space group R-3m (No. 166, hexagonal axes)
One atom of each set of equivalent atoms:
Pm 0.0000 0.0000 0.1242
Ho 0.0000 0.0000 0.0000
Tl 0.0000 0.0000 0.2619
Ag 0.0000 0.0000 0.3890

## Properties
Total moment   0.006 μB/cell
DFT formation energy   -182 meV per atom
Calculated volume   569.1 Å³ per cell